{"formula": "La2GeRuC", "functional": "PBE-GGA", "state": "optimized geometry", "delta_e_f_ev_per_atom": -0.367, "magnetic_moment_mub_per_cell": 0.000, "cell": [[5.303, 0.000, 0.000], [0.000, 5.303, 0.000], [0.000, 0.000, 3.942]], "species": ["La", "La", "Ge", "Ru", "C"], "frac_coords": [[0.000, 0.500, 0.000], [0.500, 0.000, 0.000], [0.000, 0.000, 0.500], [0.500, 0.500, 0.500], [0.500, 0.500, 0.000]]}

{"formula": "Br2Cl6F", "functional": "PBE-GGA", "state": "optimized geometry", "e_tot_ev_per_cell": -33.0, "magnetic_moment_mub_per_cell": 2.053, "cell": [[6.324, -3.813, 0.000], [6.324, 3.813, 0.000], [-1.829, 0.000, 13.038]], "species": ["Br", "Br", "Br", "Br", "Cl", "Cl", "Cl", "Cl", "Cl", "Cl", "Cl", "Cl", "Cl", "Cl", "Cl", "Cl", "F", "F"], "frac_coords": [[0.021, 0.443, 0.383], [0.443, 0.021, 0.883], [0.557, 0.979, 0.117], [0.979, 0.557, 0.617], [0.063, 0.683, 0.316], [0.096, 0.630, 0.985], [0.281, 0.673, 0.901], [0.317, 0.937, 0.184], [0.327, 0.719, 0.599], [0.370, 0.904, 0.515], [0.630, 0.096, 0.485], [0.673, 0.281, 0.401], [0.683, 0.063, 0.816], [0.719, 0.327, 0.099], [0.904, 0.370, 0.015], [0.937, 0.317, 0.684], [0.085, 0.915, 0.250], [0.915, 0.085, 0.750]]}

{"formula": "SbP2BrCl", "functional": "PBE-GGA", "state": "optimized geometry", "polymorph_energy_ev_per_atom": 0.000, "magnetic_moment_mub_per_cell": 2.517, "cell": [[5.288, 0.000, 0.000], [0.000, 5.288, 0.000], [0.000, 0.000, 5.158]], "species": ["Sb", "P", "P", "Br", "Cl"], "frac_coords": [[0.000, 0.000, 0.000], [0.000, 0.500, 0.000], [0.500, 0.000, 0.000], [0.500, 0.500, 0.500], [0.000, 0.000, 0.500]]}

{"formula": "SiAs2RhSe", "functional": "PBE-GGA", "state": "optimized geometry", "polymorph_energy_ev_per_atom": 0.000, "magnetic_moment_mub_per_cell": 0.000, "cell": [[4.655, 0.000, 0.000], [0.000, 4.655, 0.000], [0.000, 0.000, 5.305]], "species": ["Si", "As", "As", "Rh", "Se"], "frac_coords": [[0.000, 0.000, 0.000], [0.000, 0.500, 0.500], [0.500, 0.000, 0.500], [0.500, 0.500, 0.500], [0.500, 0.500, 0.000]]}

{"formula": "GeMo2OsW", "functional": "PBE-GGA", "state": "optimized geometry", "delta_e_f_ev_per_atom": 1.703, "magnetic_moment_mub_per_cell": 0.000, "cell": [[4.491, 0.000, 0.000], [0.000, 4.491, 0.000], [0.000, 0.000, 4.536]], "species": ["Ge", "Mo", "Mo", "Os", "W"], "frac_coords": [[0.000, 0.000, 0.000], [0.000, 0.500, 0.000], [0.500, 0.000, 0.000], [0.500, 0.500, 0.500], [0.000, 0.000, 0.500]]}

{"formula": "La2PmGaCo", "functional": "PBE-GGA", "state": "optimized geometry", "delta_e_f_ev_per_atom": -0.168, "magnetic_moment_mub_per_cell": 0.000, "cell": [[5.157, 0.000, 0.000], [0.000, 5.157, 0.000], [0.000, 0.000, 5.415]], "species": ["La", "La", "Pm", "Ga", "Co"], "frac_coords": [[0.000, 0.500, 0.000], [0.500, 0.000, 0.000], [0.000, 0.000, 0.500], [0.500, 0.500, 0.500], [0.000, 0.000, 0.000]]}